No. 1
! RbLa2Zn2 | Alexandria | GGA-PBE | relaxed; values from VASP
! raw total energy	-2.64	eV/atom
! volume	30.99	A^3/atom
&SYSTEM
  ibrav = 0, nat = 10, ntyp = 3
/
ATOMIC_SPECIES
Rb 85.47 Rb.upf
La 138.91 La.upf
Zn 65.41 Zn.upf
CELL_PARAMETERS angstrom
9.3627 0.0000 0.0000
0.0000 9.3627 0.0000
0.0000 0.0000 3.5353
ATOMIC_POSITIONS crystal
Rb 0.0000 0.0000 0.0000
Rb 0.5000 0.5000 0.0000
La 0.1218 0.3782 0.0000
La 0.3782 0.8782 0.0000
La 0.6218 0.1218 0.0000
La 0.8782 0.6218 0.0000
Zn 0.1679 0.6679 0.5000
Zn 0.3321 0.1679 0.5000
Zn 0.6679 0.8321 0.5000
Zn 0.8321 0.3321 0.5000

No. 2
! PuNp5P6 | Alexandria | GGA-PBE | relaxed; values from VASP
! raw total energy	-10.18	eV/atom
! volume	21.98	A^3/atom
&SYSTEM
  ibrav = 0, nat = 12, ntyp = 3
/
ATOMIC_SPECIES
Pu 244.00 Pu.upf
Np 237.00 Np.upf
P 30.97 P.upf
CELL_PARAMETERS angstrom
3.4296 -5.9448 0.0000
3.4296 5.9448 0.0000
-2.2928 0.0000 6.4684
ATOMIC_POSITIONS crystal
Pu 0.0000 0.0000 0.0000
Np 0.1653 0.8347 0.5000
Np 0.3330 0.6670 0.0000
Np 0.5000 0.5000 0.5000
Np 0.6670 0.3330 0.0000
Np 0.8347 0.1653 0.5000
P 0.0842 0.4210 0.2521
P 0.2534 0.2534 0.7487
P 0.4210 0.0842 0.2521
P 0.5790 0.9158 0.7479
P 0.7466 0.7466 0.2513
P 0.9158 0.5790 0.7479